[1]
A geometry-optimized BaPbAu2 structure. Source: the Alexandria database, functional PBE-GGA.

Lattice parameters (Å, degrees): 5.272 5.272 4.071 90.04 90.04 89.99
Element x y z (fractional)
Pb1 0.000 0.500 0.500
Au1 0.000 0.000 0.000
Au2 0.500 0.500 0.000
Ba1 0.500 0.000 0.500

Values from the calculation:
Symmetry   P4/mmm, No. 123

=====

[2]
A geometry-optimized BaPbAu2 structure. Source: the Alexandria database, functional PBE-GGA.

Lattice parameters (Å, degrees): 4.084 5.614 5.614 99.60 90.00 90.00
Element x y z (fractional)
Ba1 0.000 0.013 0.987
Pb1 0.500 0.598 0.402
Au1 0.500 0.497 0.893
Au2 0.500 0.107 0.503

Values from the calculation:
Symmetry   Amm2, No. 38

=====

[3]
A geometry-optimized Ba2PbAu2 structure. Source: the Alexandria database, functional PBE-GGA.

Lattice parameters (Å, degrees): 4.065 4.065 10.496 78.83 78.83 90.00
Element x y z (fractional)
Pb1 0.000 0.000 0.000
Au1 0.750 0.250 0.500
Au2 0.250 0.750 0.500
Ba1 0.385 0.385 0.231
Ba2 0.615 0.615 0.769

Values from the calculation:
Symmetry   I4/mmm, No. 139

=====

[4]
A geometry-optimized Ba3PbAu4 structure. Source: the Alexandria database, functional PBE-GGA.

Lattice parameters (Å, degrees): 4.671 7.272 9.295 113.06 104.55 90.00
Element x y z (fractional)
Ba1 0.000 0.500 0.000
Ba2 0.186 0.186 0.373
Ba3 0.814 0.814 0.627
Pb1 0.500 0.000 0.000
Au1 0.375 0.569 0.751
Au2 0.625 0.431 0.249
Au3 0.624 0.818 0.249
Au4 0.376 0.182 0.751

Values from the calculation:
Symmetry   Immm, No. 71

=====

Q: Which formation energy from the elements values were calculated for the entries above? A: -0.39, -0.42, -0.50, -0.58, in eV per atom.
Q: Which V values were calculated for the entries above? A: 113, 127, 167, 279, in Å³/f.u..